P:
Computed, not measured: an optimized crystal structure of Tm7Co2Au2 at the PBE level of DFT.

Cell: 6.496 6.496 6.801 Å, 90.00 90.00 108.76°
Element x y z (fractional)
Tm (0.000, 0.000, 0.000)
Tm (0.000, 0.500, 0.250)
Tm (0.000, 0.500, 0.750)
Tm (0.500, 0.000, 0.250)
Tm (0.500, 0.000, 0.750)
Tm (0.500, 0.500, 0.242)
Tm (0.500, 0.500, 0.758)
Co (0.291, 0.709, 0.000)
Co (0.709, 0.291, 0.000)
Au (0.189, 0.189, 0.500)
Au (0.811, 0.811, 0.500)

ρ ... 10.4 g/cm3
Symmetry ... No. 65

***

Q:
Computed, not measured: an optimized crystal structure of Tm7Co2Au2 at the PBE level of DFT.

Cell: 9.185 9.185 9.185 Å, 157.14 65.85 119.19°
Element x y z (fractional)
Tm (0.000, 0.000, 0.000)
Tm (0.299, 0.421, 0.878)
Tm (0.305, 0.617, 0.688)
Tm (0.543, 0.421, 0.122)
Tm (0.618, 0.263, 0.355)
Tm (0.909, 0.263, 0.645)
Tm (0.928, 0.617, 0.312)
Co (0.161, 0.915, 0.246)
Co (0.669, 0.915, 0.754)
Au (0.249, 0.749, 0.500)
Au (0.676, 0.676, 0.000)

ρ ... 10.8 g/cm3
Symmetry ... No. 44

***

Verdict on stability: Q comes out on top.

***

P:
Computed, not measured: an optimized crystal structure of VCo3Au at the PBE level of DFT.

Cell: 4.197 4.197 4.197 Å, 90.00 90.00 90.00°
Element x y z (fractional)
V (0.000, 0.000, 0.000)
Co (0.000, 0.000, 0.500)
Co (0.000, 0.500, 0.000)
Co (0.500, 0.000, 0.000)
Au (0.500, 0.500, 0.500)

ρ ... 9.5 g/cm3
Symmetry ... No. 221

***

Q:
Computed, not measured: an optimized crystal structure of VCo3Au at the PBE level of DFT.

Cell: 4.635 4.635 4.635 Å, 90.00 90.00 90.00°
Element x y z (fractional)
V (0.000, 0.000, 0.000)
Co (0.000, 0.500, 0.500)
Co (0.500, 0.000, 0.500)
Co (0.500, 0.500, 0.000)
Au (0.500, 0.500, 0.500)

ρ ... 7.1 g/cm3
Symmetry ... No. 221

***

Verdict on stability: P comes out on top.

***

P:
Computed, not measured: an optimized crystal structure of V2Co2Au at the PBE level of DFT.

Cell: 7.148 7.148 2.624 Å, 90.00 90.00 90.00°
Element x y z (fractional)
V (0.144, 0.356, 0.000)
V (0.356, 0.856, 0.000)
V (0.644, 0.144, 0.000)
V (0.856, 0.644, 0.000)
Co (0.144, 0.644, 0.500)
Co (0.356, 0.144, 0.500)
Co (0.644, 0.856, 0.500)
Co (0.856, 0.356, 0.500)
Au (0.000, 0.000, 0.000)
Au (0.500, 0.500, 0.000)

ρ ... 10.3 g/cm3
Symmetry ... No. 127

***

Q:
Computed, not measured: an optimized crystal structure of V2Co2Au at the PBE level of DFT.

Cell: 5.404 5.404 5.404 Å, 137.90 137.90 61.05°
Element x y z (fractional)
V (0.250, 0.750, 0.500)
V (0.750, 0.250, 0.500)
Co (0.119, 0.119, 0.000)
Co (0.881, 0.881, 0.000)
Au (0.500, 0.500, 0.000)

ρ ... 9.9 g/cm3
Symmetry ... No. 139

***

Verdict on stability: Q comes out on top.

***

P:
Computed, not measured: an optimized crystal structure of VCoAu2 at the PBE level of DFT.

Cell: 5.709 5.709 5.709 Å, 102.53 102.53 124.48°
Element x y z (fractional)
V (0.000, 0.000, 0.000)
V (0.750, 0.250, 0.500)
Co (0.250, 0.750, 0.500)
Co (0.500, 0.500, 0.000)
Au (0.142, 0.125, 0.517)
Au (0.375, 0.858, 0.983)
Au (0.608, 0.625, 0.483)
Au (0.875, 0.392, 0.017)

ρ ... 12.3 g/cm3
Symmetry ... No. 122

***

Q:
Computed, not measured: an optimized crystal structure of VCoAu2 at the PBE level of DFT.

Cell: 4.438 4.438 4.438 Å, 60.00 60.00 60.00°
Element x y z (fractional)
V (0.000, 0.000, 0.000)
Co (0.500, 0.500, 0.500)
Au (0.250, 0.250, 0.250)
Au (0.750, 0.750, 0.750)

ρ ... 13.5 g/cm3
Symmetry ... No. 225

***

Verdict on stability: Q comes out on top.

***

P:
Computed, not measured: an optimized crystal structure of VCoAu3 at the PBE level of DFT.

Cell: 4.855 4.855 4.855 Å, 90.00 90.00 90.00°
Element x y z (fractional)
V (0.000, 0.000, 0.000)
Co (0.500, 0.500, 0.500)
Au (0.000, 0.000, 0.500)
Au (0.000, 0.500, 0.000)
Au (0.500, 0.000, 0.000)

ρ ... 10.2 g/cm3
Symmetry ... No. 221

***

Q:
Computed, not measured: an optimized crystal structure of VCoAu3 at the PBE level of DFT.

Cell: 4.735 4.735 4.735 Å, 90.00 90.00 90.00°
Element x y z (fractional)
V (0.000, 0.000, 0.000)
Co (0.500, 0.500, 0.500)
Au (0.000, 0.500, 0.500)
Au (0.500, 0.000, 0.500)
Au (0.500, 0.500, 0.000)

ρ ... 11.0 g/cm3
Symmetry ... No. 221

***

Verdict on stability: Q comes out on top.

***

P:
Computed, not measured: an optimized crystal structure of CoWAu3 at the PBE level of DFT.

Cell: 4.692 4.692 4.692 Å, 90.00 90.00 90.00°
Element x y z (fractional)
Co (0.000, 0.000, 0.000)
W (0.500, 0.500, 0.500)
Au (0.000, 0.000, 0.500)
Au (0.000, 0.500, 0.000)
Au (0.500, 0.000, 0.000)

ρ ... 13.4 g/cm3
Symmetry ... No. 221

***

Q:
Computed, not measured: an optimized crystal structure of CoWAu3 at the PBE level of DFT.

Cell: 5.038 5.038 5.038 Å, 90.00 90.00 90.00°
Element x y z (fractional)
Co (0.000, 0.000, 0.000)
W (0.500, 0.500, 0.500)
Au (0.000, 0.500, 0.500)
Au (0.500, 0.000, 0.500)
Au (0.500, 0.500, 0.000)

ρ ... 10.8 g/cm3
Symmetry ... No. 221

***

Verdict on stability: P comes out on top.